1.
# LiMoIr2 PBE optimized geometry
# Polymorph energy (0 for the lowest one) = 0.163 eV/atom
# Formation energy from the elements = -0.04 eV per atom
# M_tot = 0.00 μB/cell
# SG = C2/m, No. 12
data_LiMoIr2
_space_group_name_H-M_alt 'P 1'
_space_group_IT_number 1
_cell_length_a 4.5328
_cell_length_b 4.5328
_cell_length_c 4.8581
_cell_angle_alpha 83.74
_cell_angle_beta 83.74
_cell_angle_gamma 35.08
loop_
_space_group_symop_operation_xyz
'x,y,z'
loop_
_atom_site_label
_atom_site_fract_x
_atom_site_fract_y
_atom_site_fract_z
Ir1 0.5019 0.5019 0.5115
Li1 0.7500 0.7500 0.7500
Ir2 0.9981 0.9981 0.9885
Mo1 0.2500 0.2500 0.2500

***

2.
# Li2MoIr PBE optimized geometry
# Polymorph energy (0 for the lowest one) = 0.134 eV/atom
# Formation energy from the elements = 0.08 eV per atom
# M_tot = 0.00 μB/cell
# SG = Pmmm, No. 47
data_Li2MoIr
_space_group_name_H-M_alt 'P 1'
_space_group_IT_number 1
_cell_length_a 2.7762
_cell_length_b 4.4705
_cell_length_c 4.7266
_cell_angle_alpha 90.00
_cell_angle_beta 90.00
_cell_angle_gamma 90.00
loop_
_space_group_symop_operation_xyz
'x,y,z'
loop_
_atom_site_label
_atom_site_fract_x
_atom_site_fract_y
_atom_site_fract_z
Li1 0.5000 0.5000 0.0000
Ir1 0.0000 0.5000 0.5000
Mo1 0.5000 0.0000 0.5000
Li2 0.0000 0.0000 0.0000

***

3.
# LiMo2Ir PBE optimized geometry
# Polymorph energy (0 for the lowest one) = 0.033 eV/atom
# Formation energy from the elements = 0.05 eV per atom
# M_tot = 0.00 μB/cell
# SG = P2/m, No. 10
data_LiMo2Ir
_space_group_name_H-M_alt 'P 1'
_space_group_IT_number 1
_cell_length_a 4.1240
_cell_length_b 2.7252
_cell_length_c 5.5388
_cell_angle_alpha 68.25
_cell_angle_beta 90.00
_cell_angle_gamma 90.00
loop_
_space_group_symop_operation_xyz
'x,y,z'
loop_
_atom_site_label
_atom_site_fract_x
_atom_site_fract_y
_atom_site_fract_z
Mo1 0.0000 0.9793 0.9916
Li1 0.5000 0.7500 0.7500
Mo2 0.0000 0.5207 0.5084
Ir1 0.5000 0.2500 0.2500

***

4.
# LiMoIr2 PBE optimized geometry
# Polymorph energy (0 for the lowest one) = 0.000 eV/atom
# Formation energy from the elements = -0.20 eV per atom
# M_tot = 0.00 μB/cell
# SG = P4/mmm, No. 123
data_LiMoIr2
_space_group_name_H-M_alt 'P 1'
_space_group_IT_number 1
_cell_length_a 2.9284
_cell_length_b 2.9284
_cell_length_c 6.3473
_cell_angle_alpha 90.00
_cell_angle_beta 90.00
_cell_angle_gamma 90.00
loop_
_space_group_symop_operation_xyz
'x,y,z'
loop_
_atom_site_label
_atom_site_fract_x
_atom_site_fract_y
_atom_site_fract_z
Ir1 0.0000 0.0000 0.4786
Ir2 0.0000 0.0000 0.0214
Mo1 0.5000 0.5000 0.7500
Li1 0.5000 0.5000 0.2500

***

5.
# LiMo2Ir PBE optimized geometry
# Polymorph energy (0 for the lowest one) = 0.319 eV/atom
# Formation energy from the elements = 0.34 eV per atom
# M_tot = 0.00 μB/cell
# SG = P4/mmm, No. 123
data_LiMo2Ir
_space_group_name_H-M_alt 'P 1'
_space_group_IT_number 1
_cell_length_a 3.3239
_cell_length_b 3.3239
_cell_length_c 5.2847
_cell_angle_alpha 90.00
_cell_angle_beta 90.00
_cell_angle_gamma 90.00
loop_
_space_group_symop_operation_xyz
'x,y,z'
loop_
_atom_site_label
_atom_site_fract_x
_atom_site_fract_y
_atom_site_fract_z
Mo1 0.0000 0.0000 0.9836
Li1 0.5000 0.5000 0.7500
Mo2 0.0000 0.0000 0.5164
Ir1 0.5000 0.5000 0.2500

***

6.
# LiMo2Ir PBE optimized geometry
# Polymorph energy (0 for the lowest one) = 0.034 eV/atom
# Formation energy from the elements = 0.05 eV per atom
# M_tot = 0.00 μB/cell
# SG = Pmmm, No. 47
data_LiMo2Ir
_space_group_name_H-M_alt 'P 1'
_space_group_IT_number 1
_cell_length_a 2.7282
_cell_length_b 4.0813
_cell_length_c 5.2091
_cell_angle_alpha 90.00
_cell_angle_beta 90.00
_cell_angle_gamma 90.00
loop_
_space_group_symop_operation_xyz
'x,y,z'
loop_
_atom_site_label
_atom_site_fract_x
_atom_site_fract_y
_atom_site_fract_z
Li1 0.5000 0.5000 0.7500
Ir1 0.5000 0.5000 0.2500
Mo1 0.0000 0.0000 0.9950
Mo2 0.0000 0.0000 0.5050